A plane-wave DFT calculation with PBE-GGA was carried out for an optimized crystal structure of CdSiAs2.

## Properties
Theoretical density = 5.66 g cm⁻³
Volume = 85.2 Å³ per cell
Crystal system = monoclinic
Spin magnetization = 0.0000 μB per atom
D(E_F) = 1.6 states/eV per cell
E_form (uncorrected) = 0.9 eV/f.u.
Space-group type = Cm (8)
E_tot = -3.674 eV/atom

Geometry as CIF:
```
data_CdSiAs2
_chemical_formula_sum 'Cd1 Si1 As2'
_cell_length_a 5.9948
_cell_length_b 5.9948
_cell_length_c 4.4474
_cell_angle_alpha 111.41
_cell_angle_beta 111.41
_cell_angle_gamma 35.22
_space_group_name_H-M_alt 'P 1'
_space_group_IT_number 1
_space_group_name_Hall 'P 1'
loop_
_atom_site_label
_atom_site_type_symbol
_atom_site_fract_x
_atom_site_fract_y
_atom_site_fract_z
Cd1 Cd 0.0000 0.0000 0.0000
Si1 Si 0.2633 0.2633 0.9531
As1 As 0.6283 0.6283 0.5482
As2 As 0.8134 0.8134 0.3740
```